Entry 1:
Compound: Tb6Nd2Y3
Source: the Alexandria database
Functional: PBE-GGA
Structure: optimized geometry

- Energy relative to the elements: 2.9 eV per formula unit
- Relative energy among the computed polymorphs: 0.89 eV/f.u.

Cell and atoms, written as extended XYZ:
```
11
Lattice="4.7698 0.0000 0.0000 0.0000 4.7698 0.0000 -2.3849 -2.3849 16.6538" Properties=species:S:1:pos:R:3 pbc="T T T"
Tb 0.0000 0.0000 10.1965
Tb 2.3849 2.3849 6.4573
Nd 0.0000 0.0000 15.1184
Tb 0.0000 2.3849 4.0358
Y 2.3849 2.3849 9.9099
Y 0.0000 0.0000 0.0000
Y 0.0000 0.0000 6.7438
Tb 2.3849 0.0000 12.6180
Tb 2.3849 0.0000 4.0358
Nd 2.3849 2.3849 1.5354
Tb 0.0000 2.3849 12.6180
```

Entry 2:
Compound: ErPRu
Source: the Alexandria database
Functional: PBE-GGA
Structure: optimized geometry

- Energy relative to the elements: 0.0 eV per formula unit

Cell and atoms, written as extended XYZ:
```
6
Lattice="-0.6147 2.7289 -1.2491 -5.7730 -0.7709 4.9136 2.7522 2.4358 3.9668" Properties=species:S:1:pos:R:3 pbc="T T T"
P -3.5757 2.3253 3.0831
Ru 1.5674 1.7334 3.0155
Ru -5.2029 2.6603 4.6158
Er -2.2974 3.5599 5.1511
Er -1.3381 0.8339 2.4802
P -0.0598 2.0684 4.5482
```

Entry 3:
Compound: Cs6Rb5Au
Source: the Alexandria database
Functional: PBE-GGA
Structure: optimized geometry

- Energy relative to the elements: -0.5 eV per formula unit

Cell and atoms, written as extended XYZ:
```
12
Lattice="13.3706 0.0000 2.1683 6.6853 9.4834 1.0841 0.9699 0.0000 8.9938" Properties=species:S:1:pos:R:3 pbc="T T T"
Rb 7.1702 4.7601 5.5811
Cs 11.1529 2.6001 3.3915
Cs 11.9492 0.0000 8.2674
Cs 9.8728 6.8832 8.8548
Au 0.0000 0.0000 0.0000
Rb 13.3706 7.0800 2.1683
Cs 17.8382 6.8832 4.4756
Cs 3.1876 2.6001 7.7706
Rb 7.1702 0.0000 5.5811
Rb 6.6853 2.4034 1.0842
Cs 2.3912 0.0000 2.8947
Rb 13.8555 4.7232 6.6652
```

Entry 4:
Compound: Sr3Tm2ZrAs6
Source: the Alexandria database
Functional: PBE-GGA
Structure: optimized geometry

- Energy relative to the elements: -14.1 eV per formula unit

Cell and atoms, written as extended XYZ:
```
12
Lattice="-6.1093 -2.8430 -2.5487 5.5515 -4.2865 1.6457 -2.2872 1.7226 6.9515" Properties=species:S:1:pos:R:3 pbc="T T T"
Zr 0.0000 0.0000 0.0000
Tm 1.6600 -3.8047 0.2459
Tm -2.2178 -3.3247 -1.1489
Sr -1.4225 -2.7034 3.0242
Sr -5.2833 -2.2255 1.6355
As -0.9140 -4.9680 0.8312
As -4.1084 -3.8792 4.0803
As -2.5113 -1.0603 0.6104
As -0.3337 -4.3465 5.4381
Sr 2.4383 -3.1813 4.4130
As 1.2634 -1.5276 1.9682
As -1.9310 -0.4388 5.2173
```

Entry 5:
Compound: Tm5CdCo
Source: the Alexandria database
Functional: PBE-GGA
Structure: optimized geometry

- Energy relative to the elements: -0.3 eV per formula unit

Cell and atoms, written as extended XYZ:
```
14
Lattice="-5.1388 0.9747 -3.5665 0.3775 -2.0481 -5.9783 -5.5996 -9.5945 -0.7823" Properties=species:S:1:pos:R:3 pbc="T T T"
Co 0.0000 0.0000 0.0000
Co -2.7998 -4.7973 -0.3911
Tm -6.4744 -1.4591 -3.7902
Cd -3.5851 -3.0424 -5.0534
Tm -4.0685 -3.2173 -1.9634
Tm -6.2924 -7.4505 -8.3637
Tm -6.4892 -4.4949 -5.8880
Tm -3.0188 -0.3089 -3.1968
Cd -6.7759 -7.6254 -5.2736
Tm -7.3422 -10.3589 -7.1303
Tm -5.4331 -1.5899 -7.1241
Tm -4.9278 -9.0779 -3.2029
Tm -3.8865 -9.2087 -6.5369
Tm -3.8717 -6.1730 -4.4391
```

Entry 6:
Compound: Tb6Nd12Cd
Source: the Alexandria database
Functional: PBE-GGA
Structure: optimized geometry

- Energy relative to the elements: 2.1 eV per formula unit
- Relative energy among the computed polymorphs: 0.34 eV/f.u.

Cell and atoms, written as extended XYZ:
```
19
Lattice="8.7220 -0.3354 -0.8556 -0.9103 8.6808 -0.8556 -0.3139 -0.3354 8.7582" Properties=species:S:1:pos:R:3 pbc="T T T"
Nd 6.2212 2.0059 -0.8544
Nd 2.0324 -0.3342 6.2621
Nd 4.4789 4.7863 0.5032
Nd 4.7244 1.0938 4.4391
Nd 6.7181 3.2251 2.6066
Nd 8.2521 1.6701 5.4063
Cd 0.0000 0.0000 0.0000
Tb 0.9349 0.9998 3.3227
Nd 5.4654 8.3443 0.7850
Tb 3.3743 0.9988 0.7284
Tb 4.1235 7.0113 6.3187
Tb 0.7749 3.4329 0.7274
Tb 6.7229 4.5772 6.3198
Tb 6.5629 7.0104 3.7244
Nd 2.7734 6.9163 2.6080
Nd -0.7543 6.3400 1.6408
Nd 0.7797 4.7850 4.4405
Nd 3.0189 3.2238 6.5439
Nd 1.2766 6.0042 7.9015
```

Entry 7:
Compound: Er4Tl2O
Source: the Alexandria database
Functional: PBE-GGA
Structure: optimized geometry

- Energy relative to the elements, uncorrected: -7.5 eV per formula unit

Cell and atoms, written as extended XYZ:
```
14
Lattice="-1.6854 3.9263 -4.7044 0.1094 -5.1914 -4.3719 -7.2612 -3.4465 3.9108" Properties=species:S:1:pos:R:3 pbc="T T T"
Er -5.9583 -3.2580 -1.5280
Tl -7.5636 -3.4677 1.2937
Tl -3.2729 -1.9812 -0.3641
Er -6.0125 -0.6839 0.6397
Er -7.0381 -6.6326 -0.2046
Er -2.6018 -4.7918 -2.2795
Tl -5.5643 -2.7304 -4.8014
Tl -1.2736 -1.2439 -6.4592
Er -2.8789 -1.4536 -3.6375
O -1.9357 -3.4344 -3.8746
Er -2.8247 -4.0276 -5.8053
Er -6.2354 0.0803 -2.8861
Er -1.7991 1.9211 -4.9609
O -6.9015 -1.2772 -1.2909
```

Entry 8:
Compound: In2OsSI
Source: the Alexandria database
Functional: PBE-GGA
Structure: optimized geometry

- Energy relative to the elements, uncorrected: 6.8 eV per formula unit

Cell and atoms, written as extended XYZ:
```
5
Lattice="5.4622 0.0000 0.0000 0.0000 5.0508 0.0000 0.0000 0.0000 5.4622" Properties=species:S:1:pos:R:3 pbc="T T T"
S 0.0000 0.0000 0.0000
In 2.7311 0.0000 0.0000
Os 2.7311 2.5254 2.7311
In 0.0000 0.0000 2.7311
I 0.0000 2.5254 0.0000
```

Entry 9:
Compound: Li3Pr2USe6
Source: the Alexandria database
Functional: PBE-GGA
Structure: optimized geometry

- Energy relative to the elements, uncorrected: -17.7 eV per formula unit

Cell and atoms, written as extended XYZ:
```
12
Lattice="7.2479 0.0026 0.0006 -3.6199 6.2792 0.0006 -1.2102 -2.0954 6.5312" Properties=species:S:1:pos:R:3 pbc="T T T"
Se -1.1709 2.0340 1.7110
Pr -0.0009 4.1891 0.0006
Li -2.4345 4.1974 3.2662
Se 2.4540 4.2491 1.6895
Se -0.0362 -0.0627 4.8428
Pr 3.6289 2.0928 0.0006
Se 2.3469 0.0023 1.7110
Se 3.5887 2.1524 4.8213
Se 0.0709 4.1841 4.8213
Li 1.2089 2.0932 3.2662
Li 4.8523 -0.0110 3.2662
U 0.0000 0.0000 0.0000
```

Entry 10:
Compound: GaSiHgOsRh
Source: the Alexandria database
Functional: PBE-GGA
Structure: optimized geometry

- Relative energy among the computed polymorphs: 1.15 eV/f.u.
- Energy relative to the elements, uncorrected: 0.0 eV per formula unit

Cell and atoms, written as extended XYZ:
```
5
Lattice="-2.3346 -3.3838 -1.1395 1.3420 -1.6317 2.0960 -4.6605 1.7496 4.3460" Properties=species:S:1:pos:R:3 pbc="T T T"
Os -2.8144 -0.7328 1.2315
Ga -3.7039 -3.0936 2.0758
Hg -6.3835 -1.5294 2.8965
Si -0.8546 -2.0358 1.0750
Rh -3.8707 -0.9075 3.8844
```

Entry 11:
Compound: CrAsPbBr2
Source: the Alexandria database
Functional: PBE-GGA
Structure: optimized geometry

- Relative energy among the computed polymorphs: 0.00 eV/f.u.
- Energy relative to the elements, uncorrected: -0.4 eV per formula unit

Cell and atoms, written as extended XYZ:
```
5
Lattice="5.0554 0.0000 0.0000 0.0000 5.0554 0.0000 0.0000 0.0000 5.1318" Properties=species:S:1:pos:R:3 pbc="T T T"
Br 0.0000 2.5277 0.0000
Br 2.5277 0.0000 0.0000
As 0.0000 0.0000 2.5659
Pb 2.5277 2.5277 2.5659
Cr 0.0000 0.0000 0.0000
```

Entry 12:
Compound: PrBTe
Source: the Alexandria database
Functional: PBE-GGA
Structure: optimized geometry

- Energy relative to the elements, uncorrected: -1.1 eV per formula unit

Cell and atoms, written as extended XYZ:
```
6
Lattice="-2.5947 -2.7750 0.9966 3.4852 1.0921 4.3752 -4.0788 4.8091 2.7717" Properties=species:S:1:pos:R:3 pbc="T T T"
B -2.7889 0.6824 2.3784
Pr -2.1244 3.1335 3.1944
Pr -1.0639 -0.0074 4.9491
Te -3.0829 2.3249 6.1865
Te -0.1053 0.8013 1.9570
B -0.3993 2.4438 5.7651
```

Entry 13:
Compound: Nd5Er2Tm2
Source: the Alexandria database
Functional: PBE-GGA
Structure: optimized geometry

- Energy relative to the elements: 0.2 eV per formula unit
- Relative energy among the computed polymorphs: 0.00 eV/f.u.

Cell and atoms, written as extended XYZ:
```
9
Lattice="5.9388 -1.7238 0.7517 -5.1417 7.8561 -1.5472 1.1188 -0.1787 7.9622" Properties=species:S:1:pos:R:3 pbc="T T T"
Er 2.9617 -0.1192 1.9776
Nd 0.0136 1.4726 3.2807
Tm 0.0137 2.9452 6.5716
Er -1.0458 6.0728 5.1891
Nd 1.9022 4.4810 3.8860
Nd -1.0860 4.5950 1.8448
Nd 0.0000 0.0000 0.0000
Tm 1.9022 3.0084 0.5951
Nd 3.0018 1.3586 5.3218
```

Entry 14:
Compound: Pm8SiC2
Source: the Alexandria database
Functional: PBE-GGA
Structure: optimized geometry

- Energy relative to the elements, uncorrected: 1.1 eV per formula unit

Cell and atoms, written as extended XYZ:
```
11
Lattice="5.3204 0.1109 0.1664 -0.7113 7.8648 -0.5118 -0.7113 -3.5014 7.0609" Properties=species:S:1:pos:R:3 pbc="T T T"
Pm 0.8824 2.7761 4.1667
Pm 1.9489 -0.7070 5.3193
C -0.7113 -0.5068 5.0658
Pm 0.0398 2.5030 0.5069
Pm 3.0153 1.6981 2.5488
Pm 3.8579 4.9705 4.2104
Pm 1.9489 5.1812 1.3962
Pm 0.0398 -0.4962 2.5051
Pm 3.8579 1.9713 6.2086
Si 2.6602 0.0554 0.0832
C -0.7113 4.8702 1.4833
```

Entry 15:
Compound: CdSbPb2C
Source: the Alexandria database
Functional: PBE-GGA
Structure: optimized geometry

- Energy relative to the elements, uncorrected: 5.8 eV per formula unit

Cell and atoms, written as extended XYZ:
```
5
Lattice="-0.3322 -1.4175 5.9221 3.4025 -2.3675 -0.3758 3.4966 4.8113 1.3478" Properties=species:S:1:pos:R:3 pbc="T T T"
Pb -0.1661 -0.7088 2.9611
C 1.7012 -1.1838 -0.1879
Cd 3.2834 0.5131 3.4471
Sb 0.0000 0.0000 0.0000
Pb 1.7483 2.4056 0.6739
```

Entry 16:
Compound: Ba12Ag5Au3
Source: the Alexandria database
Functional: PBE-GGA
Structure: optimized geometry

- Energy relative to the elements: -2.7 eV per formula unit

Cell and atoms, written as extended XYZ:
```
80
Lattice="-2.5382 14.5409 8.5529 -15.0136 -7.5189 -3.0150 9.8150 -10.4182 9.2823" Properties=species:S:1:pos:R:3 pbc="T T T"
Ba 7.7173 -7.9614 10.0808
Ba 2.7625 -4.0691 12.2709
Ag 4.5327 -3.3006 9.7922
Ba -9.1268 -5.7665 8.3362
Ba -2.4430 -11.5379 5.2426
Au -6.0930 -12.5751 5.3927
Ag -4.2432 0.2103 12.5612
Ba 4.7843 3.5900 15.6958
Ag -7.6066 2.2995 8.0112
Ba -10.4254 -9.4180 1.5018
Au -1.4300 -10.1800 8.3759
Ag -3.4784 2.2708 3.6139
Ba 1.6474 -11.0611 6.8135
Ba -9.7464 -2.8227 0.7685
Ba -0.6674 -2.2398 2.3688
Ba -7.0695 -1.1564 12.4514
Ba -12.9521 2.3283 6.9060
Ba -0.8168 -2.8782 8.0167
Au -6.3069 6.7838 6.4444
Ag 4.9075 -5.2091 4.6412
Au 1.1694 -1.2114 5.2422
Ba -10.4755 -2.2899 6.3821
Ba -7.5992 -9.8217 7.5306
Ba -6.3368 1.2477 2.8075
Ba -1.9439 5.9123 10.8156
Ba -2.8062 0.3897 9.7736
Ag -0.1303 -5.6957 6.8091
Ba 2.0095 -0.5734 14.0517
Ba -8.5231 -5.3111 4.1946
Ag 0.1600 4.3322 12.5315
Ba -6.9201 -0.5179 6.8036
Ba -5.2938 8.1417 9.5776
Ba -2.1160 -1.3950 14.2241
Ba 1.6118 -4.8707 4.3288
Ag 4.8077 0.8499 14.1599
Ba -4.9307 -3.7859 5.0466
Ba -10.4994 0.6729 2.5494
Ag -12.2696 -0.0955 5.0280
Ba -15.4542 4.5652 4.7395
Ba 5.2153 -5.7245 7.9143
Ag -2.5993 -8.9685 3.1337
Ba -4.2398 -8.3757 9.6157
Ba 1.3899 2.3704 6.4841
Ag -3.4936 -3.6065 2.2591
Ba -5.7930 -9.3084 4.0047
Ag 0.0000 0.0000 0.0000
Ba 0.7862 1.9150 10.6257
Ag -7.8969 -7.7284 2.2887
Ba -1.4001 -4.6439 12.0128
Ag 3.6384 2.0614 8.9176
Ba -5.6209 -2.0012 0.5961
Ag -1.2691 7.2705 4.2765
Ba 1.3378 -7.6173 8.8140
Ag -7.5068 -3.7595 -1.5075
Au -7.8816 -1.8510 3.6436
Ba 2.6885 6.0218 13.3184
Ba -9.0747 4.2211 6.0062
Au -6.0777 -6.6977 6.7476
Au -12.2543 5.7818 6.3829
Ba -12.5212 -6.9862 -0.8756
Ba -9.3843 7.6649 8.0068
Ba -5.7550 -3.7955 9.1752
Ba -5.0827 4.0205 8.7434
Ba -0.1377 6.4255 7.2897
Au -1.6439 9.1789 9.4275
Ag -8.7759 3.5110 2.7690
Ba -4.4721 -12.4451 8.5619
Au -8.9062 -2.1847 9.5780
Au 4.5174 -9.1780 8.4374
Ba -3.2647 9.0490 6.2584
Ag -4.2585 -5.6670 11.2064
Ba -9.3487 1.4745 10.4915
Au 0.1447 -1.5451 11.1767
Au -1.6592 3.3015 8.0727
Ba -3.4971 4.9796 5.2045
Ba -1.9819 0.3993 5.6451
Ba -2.6541 -7.4167 6.0768
Ag -12.5446 -4.2461 0.6604
Ba 2.7386 -1.1063 8.4382
Ag -3.8684 -1.6981 7.4101
```

Looking at magnetic moment for the records above, in order, we have 0.00; 0.00; 0.00; 0.00; 0.00; 0.00; 0.00; 0.60; 0.25; 0.00; 0.61; 0.00; 0.00; 0.00; 0.00; 0.00 μB/atom.